[1]
ZrCd3Ru, relaxed, DFT PBE; SG = Pm-3m, No. 221; excess energy over the best structure of this formula in the dataset = 0.0 kJ per mole of atoms; ΔH_f (0 K) = 826 meV/atom
1.0
5.0378 0.0000 0.0000
0.0000 5.0378 0.0000
0.0000 0.0000 5.0378
Zr Cd Ru
1 3 1
direct
0.5000 0.5000 0.5000 Zr
0.5000 0.0000 0.0000 Cd
0.0000 0.5000 0.0000 Cd
0.0000 0.0000 0.5000 Cd
0.0000 0.0000 0.0000 Ru



[2]
Zr3CdRu, relaxed, DFT PBE; SG = Pm-3m, No. 221; excess energy over the best structure of this formula in the dataset = 0.0 kJ per mole of atoms; ΔH_f (0 K) = 254 meV/atom
1.0
-0.1701 0.9820 -4.9258
-3.9525 -3.0674 -0.4750
-3.0993 3.8580 0.8761
Zr Cd Ru
3 1 1
direct
0.5000 0.0000 0.0000 Zr
0.0000 0.0000 0.5000 Zr
0.0000 0.5000 0.0000 Zr
0.5000 0.5000 0.5000 Cd
0.0000 0.0000 0.0000 Ru



[3]
ZrCd2Ru, relaxed, DFT PBE; SG = R-3m, No. 166; excess energy over the best structure of this formula in the dataset = 35.4 kJ per mole of atoms; ΔH_f (0 K) = 227 meV/atom
1.0
-3.3993 8.6867 4.0096
-2.9545 7.1800 6.5429
-0.6974 8.6517 5.2681
Cd Zr Ru
2 1 1
direct
0.5070 0.5070 0.5070 Cd
0.9930 0.9930 0.9930 Cd
0.7500 0.7500 0.7500 Zr
0.2500 0.2500 0.2500 Ru



[4]
ZrCd2Ru, relaxed, DFT PBE; SG = Cm, No. 8; excess energy over the best structure of this formula in the dataset = 10.3 kJ per mole of atoms; ΔH_f (0 K) = -34 meV/atom
1.0
-1.7870 -3.4517 -3.6690
1.6640 -2.4693 -4.4388
1.4077 -4.5597 0.4920
Cd Ru Zr
2 1 1
direct
0.9992 0.9992 0.0013 Cd
0.2382 0.2382 0.2611 Cd
0.4851 0.4851 0.5156 Ru
0.7775 0.7775 0.7219 Zr



[5]
ZrCd2Ru, relaxed, DFT PBE; SG = Cmmm, No. 65; excess energy over the best structure of this formula in the dataset = 24.9 kJ per mole of atoms; ΔH_f (0 K) = 118 meV/atom
1.0
-5.3696 -0.6236 0.3962
3.2263 -4.3251 0.5124
0.1624 0.4696 2.9448
Ru Cd Zr
1 2 1
direct
0.5000 0.0000 0.5000 Ru
0.5000 0.5000 0.0000 Cd
0.0000 0.0000 0.0000 Cd
0.0000 0.5000 0.5000 Zr



[6]
ZrCd2Ru, relaxed, DFT PBE; SG = F-43m, No. 216; excess energy over the best structure of this formula in the dataset = 15.5 kJ per mole of atoms; ΔH_f (0 K) = 21 meV/atom
1.0
-2.3999 2.3732 3.3508
-1.7327 -2.3166 3.7750
1.9373 0.6638 4.2925
Ru Cd Zr
1 2 1
direct
0.5000 0.5000 0.5000 Ru
0.0000 0.0000 0.0000 Cd
0.2500 0.2500 0.2500 Cd
0.7500 0.7500 0.7500 Zr



[7]
ZrCd2Ru, relaxed, DFT PBE; SG = P4/mmm, No. 123; excess energy over the best structure of this formula in the dataset = 27.4 kJ per mole of atoms; ΔH_f (0 K) = 143 meV/atom
1.0
-0.9973 -2.8343 2.0778
-1.0218 -1.8327 -2.9903
5.3078 -2.2061 -0.4617
Zr Cd Ru
1 2 1
direct
0.5000 0.5000 0.7500 Zr
0.0000 0.0000 0.4854 Cd
0.0000 0.0000 0.0146 Cd
0.5000 0.5000 0.2500 Ru



[8]
ZrCd2Ru, relaxed, DFT PBE; SG = I-42d, No. 122; excess energy over the best structure of this formula in the dataset = 32.8 kJ per mole of atoms; ΔH_f (0 K) = 199 meV/atom
1.0
3.9162 0.0000 0.0000
0.0000 3.9162 0.0000
1.9581 1.9581 10.6622
Cd Ru Zr
4 2 2
direct
0.1140 0.6250 0.2500 Cd
0.8750 0.8860 0.7500 Cd
0.6360 0.1250 0.2500 Cd
0.3750 0.3640 0.7500 Cd
0.7500 0.2500 0.5000 Ru
0.0000 0.0000 0.0000 Ru
0.2500 0.7500 0.5000 Zr
0.5000 0.5000 0.0000 Zr



[9]
Zr4CdRu, relaxed, DFT PBE; SG = F-43m, No. 216; ΔH_f (0 K) = 414 meV/atom
1.0
0.6890 -4.2625 3.6389
2.7630 0.8477 4.8510
-2.8168 -0.0176 4.8939
Ru Zr Cd
1 4 1
direct
0.0000 0.0000 0.0000 Ru
0.3733 0.3733 0.8800 Zr
0.3733 0.3733 0.3733 Zr
0.8800 0.3733 0.3733 Zr
0.3733 0.8800 0.3733 Zr
0.7500 0.7500 0.7500 Cd



[10]
ZrCd2Ru, relaxed, DFT PBE; SG = P4/mmm, No. 123; excess energy over the best structure of this formula in the dataset = 32.1 kJ per mole of atoms; ΔH_f (0 K) = 193 meV/atom
1.0
-1.8719 -1.3575 -1.8627
2.0989 -1.9955 -0.6552
-2.7986 -5.0834 6.5172
Cd Ru Zr
2 1 1
direct
0.0000 0.0000 0.0241 Cd
0.0000 0.0000 0.4759 Cd
0.5000 0.5000 0.2500 Ru
0.5000 0.5000 0.7500 Zr



[11]
ZrCd2Ru, relaxed, DFT PBE; SG = P4/mmm, No. 123; excess energy over the best structure of this formula in the dataset = 9.8 kJ per mole of atoms; ΔH_f (0 K) = -39 meV/atom
1.0
3.9843 0.0000 0.0000
0.0000 3.9843 0.0000
0.0000 0.0000 4.7900
Zr Cd Ru
1 2 1
direct
0.0000 0.5000 0.5000 Zr
0.0000 0.0000 0.0000 Cd
0.5000 0.5000 0.0000 Cd
0.5000 0.0000 0.5000 Ru



[12]
Zr2CdRu2, relaxed, DFT PBE; SG = P4/mbm, No. 127; ΔH_f (0 K) = -305 meV/atom
1.0
-6.7086 -1.8577 -3.1212
1.4242 -7.3759 1.3290
-1.4266 0.2502 2.9173
Ru Cd Zr
4 2 4
direct
0.1414 0.3586 0.0000 Ru
0.6414 0.1414 0.0000 Ru
0.3586 0.8586 0.0000 Ru
0.8586 0.6414 0.0000 Ru
0.5000 0.5000 0.0000 Cd
0.0000 0.0000 0.0000 Cd
0.1553 0.6553 0.5000 Zr
0.6553 0.8447 0.5000 Zr
0.8447 0.3447 0.5000 Zr
0.3447 0.1553 0.5000 Zr



[13]
ZrCd2Ru, relaxed, DFT PBE; SG = Immm, No. 71; excess energy over the best structure of this formula in the dataset = 7.0 kJ per mole of atoms; ΔH_f (0 K) = -68 meV/atom
1.0
5.4354 0.0354 0.0091
3.9839 3.6978 0.0091
1.5704 0.6224 3.7853
Ru Zr Cd
1 1 2
direct
0.2500 0.2500 0.2500 Ru
0.7500 0.7500 0.7500 Zr
0.9970 0.9970 0.0030 Cd
0.5030 0.5030 0.4970 Cd



[14]
ZrCd2Ru, relaxed, DFT PBE; SG = Pmm2, No. 25; excess energy over the best structure of this formula in the dataset = 0.0 kJ per mole of atoms; ΔH_f (0 K) = -140 meV/atom
1.0
-1.1809 1.1835 -2.8256
-1.9233 -2.6150 -0.2914
-7.3463 0.9548 3.4701
Zr Cd Ru
1 2 1
direct
0.5000 0.7962 0.7033 Zr
0.0000 0.9958 0.0037 Cd
0.5000 0.2240 0.2763 Cd
0.0000 0.4839 0.5166 Ru



[15]
ZrCd3Ru, relaxed, DFT PBE; SG = Pm-3m, No. 221; excess energy over the best structure of this formula in the dataset = 82.5 kJ per mole of atoms; ΔH_f (0 K) = 1681 meV/atom
1.0
5.4742 0.0000 0.0000
0.0000 5.4742 0.0000
0.0000 0.0000 5.4742
Cd Ru Zr
3 1 1
direct
0.0000 0.0000 0.5000 Cd
0.0000 0.5000 0.0000 Cd
0.5000 0.0000 0.0000 Cd
0.5000 0.5000 0.5000 Ru
0.0000 0.0000 0.0000 Zr



E across the listed records, respectively: -3.2877 -6.9132 -4.6869 -4.9475 -4.7960 -4.8930 -4.7703 -4.7141 -6.9833 -4.7206 -4.9522 -7.6181 -4.9817 -5.0538 -2.4331 eV per atom.
Magnetic moment across the listed records, respectively: 1.70 0.00 0.47 0.00 0.33 0.00 0.29 0.00 0.00 0.97 0.00 0.00 0.00 0.00 1.73 μB per cell.